Rb2VReCl6 (PBE-GGA, optimized geometry); V = 241.05 Å³/cell; electronic total energy = -43.7 eV for the cell shown; formation energy without anion corrections = -911 meV/atom
1.0
-3.641 3.641 4.547
3.641 -3.641 4.547
3.641 3.641 -4.547
Rb V Re Cl
2 1 1 6
Direct
0.250 0.750 0.500
0.750 0.250 0.500
0.000 0.000 0.000
0.500 0.500 0.000
0.248 0.248 0.000
0.257 0.257 0.515
0.257 0.743 0.000
0.743 0.257 0.000
0.743 0.743 0.485
0.752 0.752 0.000